Computed, not measured: crystalline HoCdN at its relaxed geometry at the PBE level of DFT.

POSCAR file:
```
HoCdN
1.0
3.8686 0.0000 0.0000
1.9343 3.3503 0.0000
1.9343 1.1168 10.5446
Ho N Cd
2 2 2
direct
0.2939 0.2939 0.1182
0.7061 0.7061 0.8818
0.3660 0.3660 0.9020
0.6340 0.6340 0.0980
0.8694 0.8694 0.3919
0.1306 0.1306 0.6081
```

Values from the calculation:
Spin magnetization: 0.00 μB per cell
DFT total energy: -5.4246 eV per atom
SG: R-3m
Formation energy from raw total energies: -0.82 eV per atom